DFT (PBE) results for SrCa3Pt after structural relaxation.

abc: 6.3670 6.3670 10.9140
angles: 73.04 73.04 90.00
Closest atoms and distances in Å follow each position.
Atoms (fractional coordinates):
Pt (0.0000, 0.0000, 0.0000)  4 Ca 2.99, 4 Sr 3.30
Pt (0.2500, 0.7500, 0.5000)  4 Ca 2.91
Sr (0.9567, 0.4567, 0.0867)  2 Pt 3.30
Sr (0.5433, 0.0433, 0.9133)  2 Pt 3.30
Ca (0.6219, 0.8727, 0.2545)  2 Pt 2.91-2.99, 2 Ca 3.17-3.19
Ca (0.1236, 0.8727, 0.2545)  2 Pt 2.91-2.99, 2 Ca 3.17-3.19
Ca (0.7091, 0.7091, 0.5818)  2 Pt 3.29, 2 Ca 3.62
Ca (0.2909, 0.2909, 0.4182)  2 Pt 3.29, 2 Ca 3.62
Ca (0.1273, 0.3781, 0.7455)  2 Pt 2.91-2.99, 2 Ca 3.17-3.19
Ca (0.1273, 0.8764, 0.7455)  2 Pt 2.91-2.99, 2 Ca 3.17-3.19

## Properties
Crystal system   tetragonal
Polymorph energy (0 for the lowest one)   0.247 eV/atom
Total DFT energy (no corrections)   -2.98 eV per atom
V   40.304 Å³ per atom
Space-group type   No. 119
Spin magnetization   0.0 μB per formula unit